[1]
# MgZrSb2

MgZrSb2 after structural relaxation (GGA-PBE, Alexandria).

abc: 5.707 5.709 5.920
angles: 90.00 98.79 90.00
Fractional positions:
Mg1 0.938 0.919 0.813
Mg2 0.062 0.419 0.187
Zr1 0.407 0.634 0.640
Zr2 0.593 0.134 0.360
Sb1 0.562 0.615 0.174
Sb2 0.438 0.115 0.826
Sb3 0.071 0.928 0.314
Sb4 0.929 0.428 0.686

* magnetization: 0.000 μB/atom
* theoretical density: 6255 kg/m³
* VASP energy: -40.25 eV per cell
* crystal system: monoclinic
* space-group type: P2_1

[2]
# MgZrSb2

MgZrSb2 after structural relaxation (GGA-PBE, Alexandria).

abc: 4.378 3.924 6.189
angles: 66.62 90.00 90.00
Fractional positions:
Mg1 0.500 0.501 0.842
Sb1 0.000 0.994 0.869
Sb2 0.500 0.280 0.342
Zr1 0.000 0.725 0.447

* magnetization: 0.000 μB/atom
* theoretical density: 6109 kg/m³
* VASP energy: -19.99 eV per cell
* crystal system: monoclinic
* space-group type: Pm

[3]
# MgZrSb

MgZrSb after structural relaxation (GGA-PBE, Alexandria).

abc: 5.727 5.727 5.727
angles: 145.85 140.10 53.51
Fractional positions:
Mg1 0.997 0.997 0.000
Sb1 0.335 0.335 0.000
Zr1 0.668 0.668 0.000

* magnetization: 0.000 μB/atom
* theoretical density: 5862 kg/m³
* VASP energy: -14.97 eV per cell
* excess energy over the best structure of this formula in the dataset: 310 meV per atom
* crystal system: orthorhombic
* space-group type: Imm2

Q: What is the theoretical density in the second record?
A: 6109 kg/m³